VASP calculation (GGA-PBE) on Sc2TlH after structural relaxation.

The calculation puts the calculated total energy at -4.508 eV/atom.

a = 6.8020 Å, b = 6.8020 Å, c = 6.8020 Å
α = 90.00°, β = 90.00°, γ = 90.00°
Space group Fm-3m (No. 225)
Symmetry-distinct sites (fractional):
Sc (0.2500, 0.2500, 0.2500)
Tl (0.0000, 0.0000, 0.0000)
H (0.0000, 0.0000, 0.5000)



VASP calculation (GGA-PBE) on Tb12Pm5Cd2 after structural relaxation.

The calculation puts the calculated total energy at -4.230 eV/atom. Its formation energy is 41 meV/atom.

a = 15.5375 Å, b = 9.2823 Å, c = 8.3951 Å
α = 90.00°, β = 92.36°, γ = 90.00°
Space group C2/m (No. 12)
Symmetry-distinct sites (fractional):
Tb (0.0552, 0.0000, 0.3271)
Tb (0.0770, 0.5000, 0.8802)
Tb (0.1268, 0.1927, 0.6739)
Tb (0.1446, 0.3172, 0.2368)
Pm (0.0000, 0.5000, 0.5000)
Pm (0.2015, 0.0000, 0.0175)
Pm (0.2336, 0.5000, 0.5749)
Cd (0.0000, 0.1721, 0.0000)



VASP calculation (GGA-PBE) on Ho2Co2Cu after structural relaxation.

The calculation puts the calculated total energy at -5.657 eV/atom. Its formation energy is -164 meV/atom.

a = 6.7063 Å, b = 6.7063 Å, c = 3.9221 Å
α = 90.00°, β = 90.00°, γ = 90.00°
Space group P4/mbm (No. 127)
Symmetry-distinct sites (fractional):
Ho (0.1798, 0.3202, 0.0000)
Co (0.1209, 0.6209, 0.5000)
Cu (0.0000, 0.0000, 0.5000)



VASP calculation (GGA-PBE) on SrCeZn after structural relaxation.

The calculation puts the calculated total energy at -2.953 eV/atom. Its formation energy is 10 meV/atom.

a = 3.7225 Å, b = 3.7225 Å, c = 13.8561 Å
α = 90.00°, β = 90.00°, γ = 90.00°
Space group I4mm (No. 107)
Symmetry-distinct sites (fractional):
Sr (0.0000, 0.0000, 0.0000)
Ce (0.0000, 0.0000, 0.2727)
Zn (0.0000, 0.0000, 0.6530)



VASP calculation (GGA-PBE) on AcAl3Ni after structural relaxation.

The calculation puts the calculated total energy at -4.688 eV/atom. Its formation energy is -464 meV/atom.

a = 8.4968 Å, b = 4.1995 Å, c = 11.2020 Å
α = 90.00°, β = 90.00°, γ = 90.00°
Space group Pnma (No. 62)
Symmetry-distinct sites (fractional):
Ac (0.1784, 0.2500, 0.0064)
Al (0.0508, 0.2500, 0.5813)
Al (0.1241, 0.7500, 0.7728)
Al (0.1364, 0.7500, 0.2291)
Ni (0.1008, 0.2500, 0.3557)



VASP calculation (GGA-PBE) on Tc3SnW after structural relaxation.

The calculation puts the calculated total energy at -8.074 eV/atom. Its formation energy is 1536 meV/atom.

a = 4.7375 Å, b = 4.7375 Å, c = 4.7375 Å
α = 90.00°, β = 90.00°, γ = 90.00°
Space group Pm-3m (No. 221)
Symmetry-distinct sites (fractional):
Tc (0.0000, 0.0000, 0.5000)
Sn (0.5000, 0.5000, 0.5000)
W (0.0000, 0.0000, 0.0000)



VASP calculation (GGA-PBE) on Cs2UPdS5 after structural relaxation.

The formation energy without anion corrections comes out at -965 meV per atom. The calculation puts the calculated total energy at -5.279 eV/atom.

a = 4.1827 Å, b = 20.9909 Å, c = 14.2846 Å
α = 90.00°, β = 90.00°, γ = 90.00°
Space group Cmc2_1 (No. 36)
Symmetry-distinct sites (fractional):
Cs (0.0000, 0.1152, 0.0000)
Cs (0.0000, 0.1215, 0.6370)
U (0.0000, 0.2090, 0.3279)
Pd (0.0000, 0.3985, 0.7206)
S (0.0000, 0.0864, 0.2871)
S (0.0000, 0.2851, 0.7133)
S (0.0000, 0.3007, 0.9435)
S (0.0000, 0.3253, 0.3265)
S (0.0000, 0.4907, 0.6370)



VASP calculation (GGA-PBE) on Tb2Nd2Dy5 after structural relaxation.

The calculation puts the calculated total energy at -4.413 eV/atom. Its formation energy is 232 meV/atom.

a = 21.7116 Å, b = 3.4962 Å, c = 8.2364 Å
α = 90.00°, β = 99.80°, γ = 90.00°
Space group C2/m (No. 12)
Symmetry-distinct sites (fractional):
Tb (0.0472, 0.0000, 0.3559)
Nd (0.1817, 0.5000, 0.1456)
Dy (0.0000, 0.5000, 0.0000)
Dy (0.0964, 0.5000, 0.7355)
Dy (0.1905, 0.0000, 0.5302)



VASP calculation (GGA-PBE) on MgIN2F after structural relaxation.

The formation energy without anion corrections comes out at 861 meV per atom. The calculation puts the calculated total energy at -3.473 eV/atom.

a = 4.1502 Å, b = 4.1502 Å, c = 4.4293 Å
α = 90.00°, β = 90.00°, γ = 90.00°
Space group P4/mmm (No. 123)
Symmetry-distinct sites (fractional):
Mg (0.0000, 0.0000, 0.0000)
I (0.5000, 0.5000, 0.5000)
N (0.0000, 0.5000, 0.5000)
F (0.5000, 0.5000, 0.0000)



VASP calculation (GGA-PBE) on NaYIn3 after structural relaxation.

The calculation puts the calculated total energy at -2.874 eV/atom. Its formation energy is 325 meV/atom.

a = 5.2598 Å, b = 5.2598 Å, c = 5.2598 Å
α = 90.00°, β = 90.00°, γ = 90.00°
Space group Pm-3m (No. 221)
Symmetry-distinct sites (fractional):
Na (0.0000, 0.0000, 0.0000)
Y (0.5000, 0.5000, 0.5000)
In (0.0000, 0.0000, 0.5000)



VASP calculation (GGA-PBE) on Y2PuCu after structural relaxation.

The calculation puts the calculated total energy at -7.843 eV/atom. Its formation energy is -4 meV/atom.

a = 3.4671 Å, b = 3.4671 Å, c = 8.5852 Å
α = 90.00°, β = 90.00°, γ = 90.00°
Space group P4/mmm (No. 123)
Symmetry-distinct sites (fractional):
Y (0.0000, 0.0000, 0.2021)
Pu (0.5000, 0.5000, 0.5000)
Cu (0.5000, 0.5000, 0.0000)



VASP calculation (GGA-PBE) on CdH after structural relaxation.

The calculation puts the calculated total energy at -1.860 eV/atom.

a = 8.9621 Å, b = 8.9621 Å, c = 3.1366 Å
α = 90.00°, β = 90.00°, γ = 120.00°
Space group P6_3/m (No. 176)
Symmetry-distinct sites (fractional):
Cd (0.0147, 0.3705, 0.2500)
H (0.1416, 0.3193, 0.7500)



VASP calculation (GGA-PBE) on Na4TmSc3S8 after structural relaxation.

The formation energy without anion corrections comes out at -1770 meV per atom. The calculation puts the calculated total energy at -5.630 eV/atom.

a = 13.2085 Å, b = 7.6255 Å, c = 7.9671 Å
α = 90.00°, β = 123.56°, γ = 90.00°
Space group C2/m (No. 12)
Symmetry-distinct sites (fractional):
Na (0.0000, 0.0000, 0.0000)
Na (0.0000, 0.5000, 0.0000)
Na (0.2500, 0.2500, 0.0000)
Tm (0.0000, 0.0000, 0.5000)
Sc (0.0000, 0.5000, 0.5000)
Sc (0.2500, 0.2500, 0.5000)
S (0.0119, 0.2561, 0.2805)
S (0.2383, 0.5000, 0.7147)
S (0.2439, 0.0000, 0.7184)



VASP calculation (GGA-PBE) on Ba2TmTlF8 after structural relaxation.

The formation energy without anion corrections comes out at -3593 meV per atom. The calculation puts the calculated total energy at -5.731 eV/atom.

a = 6.0000 Å, b = 6.0000 Å, c = 12.2770 Å
α = 90.00°, β = 90.00°, γ = 90.00°
Space group I-4m2 (No. 119)
Symmetry-distinct sites (fractional):
Ba (0.0000, 0.0000, 0.0000)
Ba (0.0000, 0.5000, 0.2500)
Tm (0.0000, 0.5000, 0.7500)
Tl (0.0000, 0.0000, 0.5000)
F (0.2159, 0.2705, 0.8580)



VASP calculation (GGA-PBE) on Al2Zn3Ag6 after structural relaxation.

The calculation puts the calculated total energy at -2.603 eV/atom. Its formation energy is -20 meV/atom.

a = 2.9249 Å, b = 2.9249 Å, c = 74.2759 Å
α = 90.00°, β = 90.00°, γ = 120.00°
Space group R-3m (No. 166, hexagonal axes)
Symmetry-distinct sites (fractional):
Al (0.0000, 0.0000, 0.0461)
Zn (0.0000, 0.0000, 0.2267)
Zn (0.0000, 0.0000, 0.5000)
Ag (0.0000, 0.0000, 0.1365)
Ag (0.0000, 0.0000, 0.3169)
Ag (0.0000, 0.0000, 0.4096)



VASP calculation (GGA-PBE) on CrRuSe2 after structural relaxation.

The formation energy without anion corrections comes out at 195 meV per atom. The calculation puts the calculated total energy at -6.272 eV/atom.

a = 3.0492 Å, b = 3.0492 Å, c = 22.3642 Å
α = 90.00°, β = 90.00°, γ = 120.00°
Space group R-3m (No. 166, hexagonal axes)
Symmetry-distinct sites (fractional):
Cr (0.0000, 0.0000, 0.0000)
Ru (0.0000, 0.0000, 0.5000)
Se (0.0000, 0.0000, 0.2547)



VASP calculation (GGA-PBE) on LaThRuAu after structural relaxation.

The calculation puts the calculated total energy at -6.644 eV/atom. Its formation energy is -419 meV/atom.

a = 7.3012 Å, b = 7.3012 Å, c = 7.3012 Å
α = 90.00°, β = 90.00°, γ = 90.00°
Space group F-43m (No. 216)
Symmetry-distinct sites (fractional):
La (0.0000, 0.0000, 0.0000)
Th (0.0000, 0.0000, 0.5000)
Ru (0.2500, 0.2500, 0.7500)
Au (0.2500, 0.2500, 0.2500)



VASP calculation (GGA-PBE) on GeRhS2Cl after structural relaxation.

The formation energy without anion corrections comes out at 206 meV per atom. The calculation puts the calculated total energy at -4.208 eV/atom.

a = 4.6849 Å, b = 4.6849 Å, c = 4.6949 Å
α = 90.00°, β = 90.00°, γ = 90.00°
Space group P4/mmm (No. 123)
Symmetry-distinct sites (fractional):
Ge (0.0000, 0.0000, 0.0000)
Rh (0.5000, 0.5000, 0.5000)
S (0.0000, 0.5000, 0.5000)
Cl (0.5000, 0.5000, 0.0000)



VASP calculation (GGA-PBE) on Sm2PuIn3 after structural relaxation.

The calculation puts the calculated total energy at -5.675 eV/atom. Its formation energy is -344 meV/atom.

a = 3.7958 Å, b = 3.7958 Å, c = 11.6076 Å
α = 90.00°, β = 90.00°, γ = 90.00°
Space group P4/mmm (No. 123)
Symmetry-distinct sites (fractional):
Sm (0.0000, 0.0000, 0.1678)
Pu (0.0000, 0.0000, 0.5000)
In (0.5000, 0.5000, 0.0000)
In (0.5000, 0.5000, 0.3342)



VASP calculation (GGA-PBE) on GdThCoAu after structural relaxation.

The calculation puts the calculated total energy at -8.304 eV/atom. Its formation energy is -333 meV/atom.

a = 7.1492 Å, b = 7.1492 Å, c = 7.1492 Å
α = 90.00°, β = 90.00°, γ = 90.00°
Space group F-43m (No. 216)
Symmetry-distinct sites (fractional):
Gd (0.0000, 0.0000, 0.0000)
Th (0.0000, 0.0000, 0.5000)
Co (0.2500, 0.2500, 0.2500)
Au (0.2500, 0.2500, 0.7500)



So what do the calculations give for DOS at the Fermi energy? Going down the list: 6.5 55.9 6.5 14.6 13.7 5.5 21.8 25.8 3.1 4.6 9.6 2.5 0.0 0.0 10.1 15.8 17.5 4.7 11.4 15.5 states/eV per cell.